Entry 1:
# Rb2Na2ZnAs2

A geometry-optimized Rb2Na2ZnAs2 structure (PBE-GGA, OQMD). Values from VASP.

Cell and atoms, written as Quantum ESPRESSO input:
```
&SYSTEM
  ibrav = 0, nat = 7, ntyp = 4
/
ATOMIC_SPECIES
Rb 85.47 Rb.upf
Na 22.99 Na.upf
Zn 65.41 Zn.upf
As 74.92 As.upf
CELL_PARAMETERS angstrom
2.693 1.555 9.574
-2.693 1.555 9.574
0.000 -3.109 9.574
ATOMIC_POSITIONS crystal
Rb 0.206 0.206 0.206
Rb 0.794 0.794 0.794
Na 0.386 0.386 0.386
Na 0.614 0.614 0.614
Zn 0.000 0.000 0.000
As 0.081 0.081 0.081
As 0.919 0.919 0.919
```

Values from the calculation:
Total DFT energy (no corrections)   -2.5545 eV/atom

Entry 2:
# GdTaSb

A geometry-optimized GdTaSb structure (PBE-GGA, OQMD). Values from VASP.

Cell and atoms, written as Quantum ESPRESSO input:
```
&SYSTEM
  ibrav = 0, nat = 3, ntyp = 3
/
ATOMIC_SPECIES
Gd 157.25 Gd.upf
Ta 180.95 Ta.upf
Sb 121.76 Sb.upf
CELL_PARAMETERS angstrom
0.000 3.403 3.403
3.403 0.000 3.403
3.403 3.403 0.000
ATOMIC_POSITIONS crystal
Gd 0.000 0.000 0.000
Ta 0.500 0.500 0.500
Sb 0.250 0.250 0.250
```

Values from the calculation:
Total DFT energy (no corrections)   -6.6597 eV/atom

Entry 3:
# Cs2NaIrF6

A geometry-optimized Cs2NaIrF6 structure (PBE-GGA, OQMD). Values from VASP.

Cell and atoms, written as Quantum ESPRESSO input:
```
&SYSTEM
  ibrav = 0, nat = 20, ntyp = 4
/
ATOMIC_SPECIES
Cs 132.91 Cs.upf
Na 22.99 Na.upf
Ir 192.22 Ir.upf
F 19.00 F.upf
CELL_PARAMETERS angstrom
3.052 1.762 9.941
-3.052 1.762 9.941
0.000 -3.524 9.941
ATOMIC_POSITIONS crystal
Cs 0.128 0.128 0.128
Cs 0.284 0.284 0.284
Cs 0.716 0.716 0.716
Cs 0.872 0.872 0.872
Na 0.406 0.406 0.406
Na 0.594 0.594 0.594
Ir 0.000 0.000 0.000
Ir 0.500 0.500 0.500
F 0.151 0.613 0.613
F 0.195 0.195 0.725
F 0.195 0.725 0.195
F 0.275 0.805 0.805
F 0.387 0.387 0.849
F 0.387 0.849 0.387
F 0.613 0.151 0.613
F 0.613 0.613 0.151
F 0.725 0.195 0.195
F 0.805 0.275 0.805
F 0.805 0.805 0.275
F 0.849 0.387 0.387
```

Values from the calculation:
Total DFT energy (no corrections)   -4.5550 eV/atom

Entry 4:
# YFe2SiP

A geometry-optimized YFe2SiP structure (PBE-GGA, OQMD). Values from VASP.

Cell and atoms, written as Quantum ESPRESSO input:
```
&SYSTEM
  ibrav = 0, nat = 5, ntyp = 4
/
ATOMIC_SPECIES
Y 88.91 Y.upf
Fe 55.84 Fe.upf
Si 28.09 Si.upf
P 30.97 P.upf
CELL_PARAMETERS angstrom
-1.944 1.944 4.734
1.944 -1.944 4.734
1.944 1.944 -4.734
ATOMIC_POSITIONS crystal
Y 0.000 0.000 0.000
Fe 0.254 0.754 0.500
Fe 0.754 0.254 0.500
Si 0.632 0.632 0.000
P 0.366 0.366 0.000
```

Values from the calculation:
Total DFT energy (no corrections)   -7.6641 eV/atom

Entry 5:
# CsRbTbAg2Se4

A geometry-optimized CsRbTbAg2Se4 structure (PBE-GGA, OQMD). Values from VASP.

Cell and atoms, written as Quantum ESPRESSO input:
```
&SYSTEM
  ibrav = 0, nat = 9, ntyp = 5
/
ATOMIC_SPECIES
Cs 132.91 Cs.upf
Rb 85.47 Rb.upf
Tb 158.93 Tb.upf
Ag 107.87 Ag.upf
Se 78.96 Se.upf
CELL_PARAMETERS angstrom
6.463 0.000 0.000
0.000 6.477 0.000
-3.162 0.000 6.862
ATOMIC_POSITIONS crystal
Cs 0.000 0.000 0.000
Rb 0.500 0.467 0.000
Tb 0.500 0.732 0.500
Ag 0.000 0.733 0.500
Ag 0.500 0.232 0.500
Se 0.145 0.481 0.286
Se 0.354 0.983 0.715
Se 0.646 0.983 0.285
Se 0.855 0.481 0.714
```

Values from the calculation:
Total DFT energy (no corrections)   -3.8209 eV/atom